Density functional theory data (PBE) for crystalline LiPmAsO4 at its relaxed geometry.

Cell lengths 6.6225, 7.2082, 8.2218 Å; angles 90.00, 90.00, 90.00 degrees
Last column: nearest neighbours and their distance in Å.
Space group Imma (No. 74)
Asymmetric unit:
Li  0.2500  0.2500  0.2500 (multiplicity 4)  2 O 1.89
Pm  0.0000  0.0000  0.0000 (multiplicity 4)  6 O 2.36
As  0.0000  0.2500  0.5902 (multiplicity 4)  2 O 1.78
O  0.0000  0.0498  0.7164 (multiplicity 8)  1 As 1.78
O  0.2285  0.2500  0.0209 (multiplicity 8)  1 Li 1.89, 1 As 2.02

Properties
total magnetic moment	1.14	μB per cell
energy relative to the elements, uncorrected	-2002	meV/atom

***

Density functional theory data (PBE) for crystalline Li2PmAs2O7 at its relaxed geometry.

Cell lengths 5.3465, 5.3465, 24.0171 Å; angles 90.00, 90.00, 120.00 degrees
Last column: nearest neighbours and their distance in Å.
Space group R32 (No. 155, hexagonal axes)
Asymmetric unit:
Li  0.0000  0.0000  0.2451 (multiplicity 6)  3 O 1.90
Pm  0.0000  0.0000  0.5000 (multiplicity 3)  6 O 2.38
As  0.0000  0.0000  0.0779 (multiplicity 6)  4 O 1.75-1.87
O  0.0000  0.0000  0.0000 (multiplicity 3)  2 As 1.87
O  0.0017  0.3050  0.8948 (multiplicity 18)  1 As 1.75, 1 Li 1.90

Properties
total magnetic moment	1.58	μB per cell
energy relative to the elements, uncorrected	-1879	meV/atom

***

Density functional theory data (PBE) for crystalline Li2PmAsO6 at its relaxed geometry.

Cell lengths 10.3531, 9.4802, 6.6770 Å; angles 90.00, 121.96, 90.00 degrees
Last column: nearest neighbours and their distance in Å.
Space group C2/c (No. 15)
Asymmetric unit:
Li  0.1514  0.0554  0.0995 (multiplicity 8)  4 O 1.93-2.09
Pm  0.0000  0.3208  0.2500 (multiplicity 4)  6 O 2.34-2.52
As  0.0000  0.3452  0.7500 (multiplicity 4)  4 O 1.70-1.74
O  0.0849  0.0878  0.3412 (multiplicity 8)  1 O 1.52
O  0.0877  0.2481  0.0028 (multiplicity 8)  1 As 1.70
O  0.1245  0.4566  0.7263 (multiplicity 8)  1 As 1.74

Properties
total magnetic moment	0.27	μB per cell
energy relative to the elements, uncorrected	-1891	meV/atom

***

Density functional theory data (PBE) for crystalline LiPmAs2O6 at its relaxed geometry.

Cell lengths 10.9102, 8.3241, 6.9267 Å; angles 90.00, 121.28, 90.00 degrees
Last column: nearest neighbours and their distance in Å.
Space group C2/c (No. 15)
Asymmetric unit:
Li  0.0000  0.2227  0.2500 (multiplicity 4)  4 O 1.93-2.03
Pm  0.0000  0.1683  0.7500 (multiplicity 4)  8 O 2.39-2.64
As  0.2002  0.4661  0.6954 (multiplicity 8)  3 O 1.74-1.82
O  0.1068  0.2921  0.5609 (multiplicity 8)  1 As 1.74, 1 Li 1.93
O  0.1149  0.0719  0.1728 (multiplicity 8)  1 As 1.76
O  0.1742  0.4084  0.9622 (multiplicity 8)  1 As 1.82

Properties
total magnetic moment	0.00	μB per cell
energy relative to the elements, uncorrected	-1864	meV/atom

***

Density functional theory data (PBE) for crystalline Li2PrAsO4 at its relaxed geometry.

Cell lengths 3.6173, 13.9523, 9.4097 Å; angles 90.00, 90.00, 90.00 degrees
Last column: nearest neighbours and their distance in Å.
Space group Cmcm (No. 63)
Asymmetric unit:
Li  0.0000  0.0824  0.0465 (multiplicity 8)  2 O 1.92-1.93
Pr  0.0000  0.4625  0.2500 (multiplicity 4)  4 O 2.30-2.41
As  0.0000  0.2501  0.7500 (multiplicity 4)  2 O 1.73
O  0.0000  0.0646  0.2500 (multiplicity 4)  2 Li 1.93
O  0.0000  0.1671  0.6140 (multiplicity 8)  1 As 1.73, 1 Li 1.92
O  0.0000  0.5000  0.0000 (multiplicity 4)  4 Li 2.19, 2 Pr 2.41

Properties
total magnetic moment	0.00	μB per cell
energy relative to the elements, uncorrected	-1992	meV/atom

***

Density functional theory data (PBE) for crystalline Li2AsPtO6 at its relaxed geometry.

Cell lengths 5.2161, 5.2161, 4.7244 Å; angles 90.00, 90.00, 90.00 degrees
Last column: nearest neighbours and their distance in Å.
Space group P4mm (No. 99)
Asymmetric unit:
Li  0.0000  0.5000  0.0000 (multiplicity 2)  4 O 2.07
As  0.0000  0.0000  0.6548 (multiplicity 1)  1 O 1.67
Pt  0.5000  0.5000  0.6868 (multiplicity 1)  5 O 1.86-1.99
O  0.0000  0.0000  0.3005 (multiplicity 1)  1 As 1.67
O  0.2398  0.2398  0.8003 (multiplicity 4)  1 As 1.90, 1 Pt 1.99, 2 Li 2.07
O  0.5000  0.5000  0.2936 (multiplicity 1)  1 Pt 1.86

Properties
total magnetic moment	1.10	μB per cell
energy relative to the elements, uncorrected	-895	meV/atom

***

What did the first record say?
Density functional theory data (PBE) for crystalline LiPmAsO4 at its relaxed geometry.

Cell lengths 6.6225, 7.2082, 8.2218 Å; angles 90.00, 90.00, 90.00 degrees
Last column: nearest neighbours and their distance in Å.
Space group Imma (No. 74)
Asymmetric unit:
Li  0.2500  0.2500  0.2500 (multiplicity 4)  2 O 1.89
Pm  0.0000  0.0000  0.0000 (multiplicity 4)  6 O 2.36
As  0.0000  0.2500  0.5902 (multiplicity 4)  2 O 1.78
O  0.0000  0.0498  0.7164 (multiplicity 8)  1 As 1.78
O  0.2285  0.2500  0.0209 (multiplicity 8)  1 Li 1.89, 1 As 2.02

Properties
total magnetic moment	1.14	μB per cell
energy relative to the elements, uncorrected	-2002	meV/atom

***

Question: energy relative to the elements, uncorrected of number 6 (Li2AsPtO6)?
Answer: -895 meV/atom